Record 1
Material: Pm4DyPd5
Method: DFT, PBE-GGA
State: relaxed

Summary:
Its symmetry is No. 123. The energy of formation is -0.788 eV per atom.

Lattice parameters (Å, degrees): 3.542 3.542 18.280 90.00 90.00 90.00
Element x y z (fractional)
Pd (0.500, 0.500, 0.702)
Pm (0.000, 0.000, 0.399)
Pd (0.500, 0.500, 0.093)
Dy (0.000, 0.000, 0.000)
Pd (0.500, 0.500, 0.500)
Pd (0.500, 0.500, 0.298)
Pm (0.000, 0.000, 0.601)
Pd (0.500, 0.500, 0.907)
Pm (0.000, 0.000, 0.197)
Pm (0.000, 0.000, 0.803)

***

Record 2
Material: HoPuGaSn
Method: DFT, PBE-GGA
State: relaxed

Summary:
Its symmetry is No. 216. The energy of formation is -0.403 eV per atom.

Lattice parameters (Å, degrees): 5.204 5.204 5.204 60.00 60.00 60.00
Each line ends with the local moment (μB).
Element x y z (fractional)
Ga (0.250, 0.250, 0.250)  -0.01
Sn (0.750, 0.750, 0.750)  -0.03
Ho (0.000, 0.000, 0.000)  0.17
Pu (0.500, 0.500, 0.500)  5.38

***

Record 3
Material: Sb2IrAu
Method: DFT, PBE-GGA
State: relaxed

Summary:
For the formation energy without anion corrections, the calculation gives 0.45 eV per formula unit. Its symmetry is No. 44. The value obtained for the distance to the lowest polymorph of the same formula is 0.48 eV per formula unit.

Lattice parameters (Å, degrees): 6.941 6.941 6.941 152.72 144.92 45.00
Element x y z (fractional)
Au (0.440, 0.440, 0.000)
Ir (0.225, 0.725, 0.500)
Sb (0.779, 0.279, 0.500)
Sb (0.056, 0.056, 0.000)

***

Record 4
Material: CaIrSe2
Method: DFT, PBE-GGA
State: relaxed

Summary:
For the formation energy without anion corrections, the calculation gives 0.54 eV per formula unit. Its symmetry is No. 216. The value obtained for the distance to the lowest polymorph of the same formula is 3.51 eV per formula unit.

Lattice parameters (Å, degrees): 4.841 4.841 4.841 60.00 60.00 60.00
Each line ends with the local moment (μB).
Element x y z (fractional)
Ca (0.500, 0.500, 0.500)  0.00
Se (0.000, 0.000, 0.000)  0.02
Se (0.250, 0.250, 0.250)  0.06
Ir (0.750, 0.750, 0.750)  0.20

***

Record 5
Material: PmY4Sc2
Method: DFT, PBE-GGA
State: relaxed

Summary:
Its symmetry is No. 11. The energy of formation is 0.141 eV per atom. The value obtained for the distance to the lowest polymorph of the same formula is 0.00 eV per formula unit.

Lattice parameters (Å, degrees): 5.470 6.845 11.723 90.00 103.50 90.00
Element x y z (fractional)
Pm (0.925, 0.250, 0.855)
Y (0.354, 0.999, 0.708)
Y (0.785, 0.250, 0.568)
Y (0.215, 0.750, 0.432)
Pm (0.075, 0.750, 0.145)
Y (0.074, 0.250, 0.151)
Sc (0.785, 0.750, 0.572)
Y (0.926, 0.750, 0.849)
Sc (0.497, 0.250, 0.999)
Sc (0.503, 0.750, 0.001)
Y (0.646, 0.001, 0.292)
Sc (0.215, 0.250, 0.428)
Y (0.354, 0.501, 0.708)
Y (0.646, 0.499, 0.292)

***

Record 6
Material: TlCu2NiPb
Method: DFT, PBE-GGA
State: relaxed

Summary:
Its symmetry is No. 123. The energy of formation is 0.473 eV per atom.

Lattice parameters (Å, degrees): 4.729 4.854 4.729 90.00 90.00 90.00
Element x y z (fractional)
Cu (0.000, 0.000, 0.500)
Tl (0.500, 0.500, 0.500)
Ni (0.000, 0.000, 0.000)
Pb (0.000, 0.500, 0.000)
Cu (0.500, 0.000, 0.000)

***

Record 7
Material: Ac2PmPrS6
Method: DFT, PBE-GGA
State: relaxed

Summary:
For the formation energy without anion corrections, the calculation gives -20.77 eV per formula unit. Its symmetry is No. 146.

Lattice parameters (Å, degrees): 7.406 7.406 7.676 61.15 61.15 60.00
Element x y z (fractional)
S (0.613, 0.190, 0.259)
Ac (0.525, 0.525, 0.424)
Pm (0.814, 0.814, 0.558)
Ac (0.026, 0.026, 0.922)
S (0.190, 0.938, 0.259)
S (0.443, 0.693, 0.757)
S (0.108, 0.443, 0.757)
Pr (0.313, 0.313, 0.062)
S (0.693, 0.108, 0.757)
S (0.938, 0.613, 0.259)

***

Record 8
Material: CaPHO
Method: DFT, PBE-GGA
State: relaxed

Summary:
Its symmetry is No. 38. The value obtained for the distance to the lowest polymorph of the same formula is 1.14 eV per formula unit.

Lattice parameters (Å, degrees): 3.097 3.310 11.840 90.00 90.00 90.00
Element x y z (fractional)
Ca (0.500, 0.000, 0.674)
P (0.000, 0.000, 0.393)
H (0.000, 0.000, 0.198)
Ca (0.500, 0.500, 0.174)
P (0.000, 0.500, 0.893)
O (0.000, 0.000, 0.527)
H (0.000, 0.500, 0.698)
O (0.000, 0.500, 0.027)

***

no.,total DFT energy (no corrections) (eV/cell),magnetic moment (μB per formula unit)
1,-57.5,0.00
2,-27.6,5.82
3,-19.9,0.00
4,-17.3,0.32
5,-84.6,0.00
6,-17.7,0.00
7,-63.3,0.00
8,-39.0,0.00